# 1
{"formula": "TaCd", "functional": "PBEsol", "state": "optimized geometry", "lattice_angstrom": [[0.000, 3.032, 3.032], [3.032, 0.000, 3.032], [3.032, 3.032, 0.000]], "species": ["Ta", "Cd"], "fractional_positions": [[0.000, 0.000, 0.000], [0.750, 0.750, 0.750]], "rho_g_cm3": 8.7, "formation_energy_mev_per_atom": 2447}

---

# 2
{"formula": "CrNi2Pt", "functional": "PBEsol", "state": "optimized geometry", "lattice_angstrom": [[4.177, -1.290, 0.000], [4.177, 1.290, 0.000], [-0.788, 0.000, 4.385]], "species": ["Cr", "Ni", "Ni", "Pt"], "fractional_positions": [[0.000, 0.000, 0.000], [0.253, 0.253, 0.768], [0.747, 0.747, 0.232], [0.500, 0.500, 0.500]], "rho_g_cm3": 12.8, "formation_energy_mev_per_atom": -39}

---

# 3
{"formula": "Al3CuS", "functional": "PBEsol", "state": "optimized geometry", "lattice_angstrom": [[4.586, 0.000, 0.000], [0.000, 4.586, 0.000], [0.000, 0.000, 4.586]], "species": ["Al", "Al", "Al", "Cu", "S"], "fractional_positions": [[0.000, 0.000, 0.500], [0.000, 0.500, 0.000], [0.500, 0.000, 0.000], [0.500, 0.500, 0.500], [0.000, 0.000, 0.000]], "rho_g_cm3": 3.0, "raw_formation_energy_mev_per_atom": 618.1}

---

# 4
{"formula": "CaZr2SbAu", "functional": "PBEsol", "state": "optimized geometry", "lattice_angstrom": [[5.143, 0.000, 0.000], [0.000, 5.143, 0.000], [0.000, 0.000, 5.499]], "species": ["Ca", "Zr", "Zr", "Sb", "Au"], "fractional_positions": [[0.000, 0.000, 0.000], [0.000, 0.500, 0.500], [0.500, 0.000, 0.500], [0.500, 0.500, 0.000], [0.500, 0.500, 0.500]], "rho_g_cm3": 6.2, "raw_formation_energy_mev_per_atom": 428.9}